No. 1
Here is a geometry-optimized SrLi2Cr structure from the Alexandria database. Energies are from GGA-PBE. Values from VASP.

Quantum ESPRESSO input file:
```
&SYSTEM
  ibrav = 0, nat = 4, ntyp = 3
/
ATOMIC_SPECIES
Sr 87.62 Sr.upf
Li 6.94 Li.upf
Cr 52.00 Cr.upf
ATOMIC_POSITIONS crystal
Sr 0.5000 0.5000 0.5000
Li 0.2500 0.2500 0.2500
Li 0.7500 0.7500 0.7500
Cr 0.0000 0.0000 0.0000
CELL_PARAMETERS angstrom
-0.6418 0.2193 5.0543
-3.7125 2.8841 1.9761
-4.0664 -2.2002 2.1518
```

Properties
E	-11.43	eV for the cell shown
distance to the lowest polymorph of the same formula	482	meV per atom

***

No. 2
Here is a geometry-optimized Sr3LiCr structure from the Alexandria database. Energies are from GGA-PBE. Values from VASP.

Quantum ESPRESSO input file:
```
&SYSTEM
  ibrav = 0, nat = 5, ntyp = 3
/
ATOMIC_SPECIES
Li 6.94 Li.upf
Cr 52.00 Cr.upf
Sr 87.62 Sr.upf
ATOMIC_POSITIONS crystal
Li 0.5000 0.5000 0.5000
Cr 0.0000 0.0000 0.0000
Sr 0.5000 0.0000 0.0000
Sr 0.0000 0.0000 0.5000
Sr 0.0000 0.5000 0.0000
CELL_PARAMETERS angstrom
-5.0377 3.6039 1.1928
-2.6289 -4.7418 3.2239
2.7386 2.0777 5.2890
```

Properties
E	-13.87	eV for the cell shown
distance to the lowest polymorph of the same formula	0	meV per atom

***

No. 3
Here is a geometry-optimized SrLiCr2 structure from the Alexandria database. Energies are from GGA-PBE. Values from VASP.

Quantum ESPRESSO input file:
```
&SYSTEM
  ibrav = 0, nat = 4, ntyp = 3
/
ATOMIC_SPECIES
Cr 52.00 Cr.upf
Li 6.94 Li.upf
Sr 87.62 Sr.upf
ATOMIC_POSITIONS crystal
Cr 0.5000 0.5000 0.0000
Cr 0.0000 0.0000 0.0000
Li 0.2500 0.7500 0.5000
Sr 0.7500 0.2500 0.5000
CELL_PARAMETERS angstrom
-3.5223 -1.9617 4.0896
-0.6909 -5.5330 1.3745
4.0631 3.9453 -0.9521
```

Properties
E	-18.03	eV for the cell shown
distance to the lowest polymorph of the same formula	690	meV per atom

***

No. 4
Here is a geometry-optimized SrLi3Cr structure from the Alexandria database. Energies are from GGA-PBE. Values from VASP.

Quantum ESPRESSO input file:
```
&SYSTEM
  ibrav = 0, nat = 5, ntyp = 3
/
ATOMIC_SPECIES
Li 6.94 Li.upf
Cr 52.00 Cr.upf
Sr 87.62 Sr.upf
ATOMIC_POSITIONS crystal
Li 0.0000 0.0000 0.5000
Li 0.5000 0.0000 0.0000
Li 0.0000 0.5000 0.0000
Cr 0.0000 0.0000 0.0000
Sr 0.5000 0.5000 0.5000
CELL_PARAMETERS angstrom
-0.4307 -3.9817 -3.3293
1.7301 -3.2598 3.6748
-4.8934 -0.8021 1.5923
```

Properties
E	-14.72	eV for the cell shown
distance to the lowest polymorph of the same formula	0	meV per atom

***

No. 5
Here is a geometry-optimized SrLiCr2 structure from the Alexandria database. Energies are from GGA-PBE. Values from VASP.

Quantum ESPRESSO input file:
```
&SYSTEM
  ibrav = 0, nat = 4, ntyp = 3
/
ATOMIC_SPECIES
Cr 52.00 Cr.upf
Sr 87.62 Sr.upf
Li 6.94 Li.upf
ATOMIC_POSITIONS crystal
Cr 0.2500 0.2500 0.2500
Cr 0.7500 0.7500 0.7500
Sr 0.5000 0.5000 0.5000
Li 0.0000 0.0000 0.0000
CELL_PARAMETERS angstrom
3.6774 -2.8537 -2.4309
0.2617 -5.1822 0.8075
-1.3624 -3.3260 -3.8285
```

Properties
E	-19.17	eV for the cell shown
distance to the lowest polymorph of the same formula	404	meV per atom

***

No. 6
Here is a geometry-optimized Sr4LiCr structure from the Alexandria database. Energies are from GGA-PBE. Values from VASP.

Quantum ESPRESSO input file:
```
&SYSTEM
  ibrav = 0, nat = 6, ntyp = 3
/
ATOMIC_SPECIES
Sr 87.62 Sr.upf
Li 6.94 Li.upf
Cr 52.00 Cr.upf
ATOMIC_POSITIONS crystal
Sr 0.3753 0.3753 0.8741
Sr 0.3753 0.8741 0.3753
Sr 0.3753 0.3753 0.3753
Sr 0.8741 0.3753 0.3753
Li 0.0000 0.0000 0.0000
Cr 0.7500 0.7500 0.7500
CELL_PARAMETERS angstrom
0.0000 5.2500 5.2500
5.2500 0.0000 5.2500
5.2500 5.2500 0.0000
```

Properties
E	-13.83	eV for the cell shown

***

No. 7
Here is a geometry-optimized SrLiCr2 structure from the Alexandria database. Energies are from GGA-PBE. Values from VASP.

Quantum ESPRESSO input file:
```
&SYSTEM
  ibrav = 0, nat = 4, ntyp = 3
/
ATOMIC_SPECIES
Sr 87.62 Sr.upf
Cr 52.00 Cr.upf
Li 6.94 Li.upf
ATOMIC_POSITIONS crystal
Sr 0.7500 0.2500 0.5000
Cr 0.4830 0.4830 0.0000
Cr 0.0170 0.0170 0.0000
Li 0.2500 0.7500 0.5000
CELL_PARAMETERS angstrom
5.8453 0.0033 0.0059
3.4863 4.6918 -0.0059
-4.2581 -3.1578 2.4625
```

Properties
E	-18.35	eV for the cell shown
distance to the lowest polymorph of the same formula	610	meV per atom

***

No. 8
Here is a geometry-optimized SrLiCr2 structure from the Alexandria database. Energies are from GGA-PBE. Values from VASP.

Quantum ESPRESSO input file:
```
&SYSTEM
  ibrav = 0, nat = 8, ntyp = 3
/
ATOMIC_SPECIES
Cr 52.00 Cr.upf
Li 6.94 Li.upf
Sr 87.62 Sr.upf
ATOMIC_POSITIONS crystal
Cr 0.3750 0.6250 0.2500
Cr 0.3750 0.6250 0.7500
Cr 0.3750 0.1250 0.2500
Cr 0.8750 0.6250 0.7500
Li 0.2500 0.7500 0.5000
Li 0.5000 0.5000 0.0000
Sr 0.7500 0.2500 0.5000
Sr 0.0000 0.0000 0.0000
CELL_PARAMETERS angstrom
-3.3481 -2.0179 -1.4221
2.2555 -3.4746 -0.3800
-2.9935 -5.3724 8.5871
```

Properties
E	-36.32	eV for the cell shown
distance to the lowest polymorph of the same formula	657	meV per atom

***

No. 9
Here is a geometry-optimized SrLi2Cr structure from the Alexandria database. Energies are from GGA-PBE. Values from VASP.

Quantum ESPRESSO input file:
```
&SYSTEM
  ibrav = 0, nat = 4, ntyp = 3
/
ATOMIC_SPECIES
Li 6.94 Li.upf
Sr 87.62 Sr.upf
Cr 52.00 Cr.upf
ATOMIC_POSITIONS crystal
Li 0.2500 0.2500 0.2500
Li 0.0000 0.0000 0.0000
Sr 0.7500 0.7500 0.7500
Cr 0.5000 0.5000 0.5000
CELL_PARAMETERS angstrom
5.3528 0.0000 0.0000
2.6764 4.6357 0.0000
2.6764 1.5452 4.3706
```

Properties
E	-13.27	eV for the cell shown
distance to the lowest polymorph of the same formula	22	meV per atom

***

No. 10
Here is a geometry-optimized SrLi2Cr structure from the Alexandria database. Energies are from GGA-PBE. Values from VASP.

Quantum ESPRESSO input file:
```
&SYSTEM
  ibrav = 0, nat = 4, ntyp = 3
/
ATOMIC_SPECIES
Li 6.94 Li.upf
Sr 87.62 Sr.upf
Cr 52.00 Cr.upf
ATOMIC_POSITIONS crystal
Li 0.0000 0.0000 0.5671
Li 0.0000 0.0000 0.9329
Sr 0.5000 0.5000 0.2500
Cr 0.5000 0.5000 0.7500
CELL_PARAMETERS angstrom
-0.1109 2.1132 3.1437
1.8233 -2.7269 1.8973
6.3165 2.9831 -1.7825
```

Properties
E	-13.29	eV for the cell shown
distance to the lowest polymorph of the same formula	16	meV per atom

***

No. 11
Here is a geometry-optimized SrLi2Cr structure from the Alexandria database. Energies are from GGA-PBE. Values from VASP.

Quantum ESPRESSO input file:
```
&SYSTEM
  ibrav = 0, nat = 4, ntyp = 3
/
ATOMIC_SPECIES
Li 6.94 Li.upf
Sr 87.62 Sr.upf
Cr 52.00 Cr.upf
ATOMIC_POSITIONS crystal
Li 0.0000 0.9708 0.9344
Li 0.0000 0.5292 0.5656
Sr 0.5000 0.2500 0.2500
Cr 0.5000 0.7500 0.7500
CELL_PARAMETERS angstrom
4.9942 0.0000 0.0000
0.0000 3.4724 -0.0131
0.0000 0.9903 6.1125
```

Properties
E	-13.17	eV for the cell shown
distance to the lowest polymorph of the same formula	48	meV per atom

***

No. 12
Here is a geometry-optimized SrLi2Cr structure from the Alexandria database. Energies are from GGA-PBE. Values from VASP.

Quantum ESPRESSO input file:
```
&SYSTEM
  ibrav = 0, nat = 4, ntyp = 3
/
ATOMIC_SPECIES
Sr 87.62 Sr.upf
Li 6.94 Li.upf
Cr 52.00 Cr.upf
ATOMIC_POSITIONS crystal
Sr 0.7500 0.2500 0.5000
Li 0.4703 0.4703 0.0000
Li 0.0297 0.0297 0.0000
Cr 0.2500 0.7500 0.5000
CELL_PARAMETERS angstrom
6.0001 0.0747 0.1186
2.2305 5.5706 -0.1186
-3.6650 -3.4793 3.2379
```

Properties
E	-13.31	eV for the cell shown
distance to the lowest polymorph of the same formula	12	meV per atom